DFT (PBE) results for Sr2Ag2Br after structural relaxation.

Summary:
As for the symmetry: P4/mbm (127). The energy above the lowest structure with this stoichiometry comes out at 93 meV per atom. The density of states at the Fermi level is 2.0 states/eV/f.u.

Cell: 8.824 8.824 4.004 Å, 90.00 90.00 90.00°
Fractional positions:
Sr (0.182, 0.682, 0.500)
Ag (0.388, 0.888, 0.000)
Ag (0.112, 0.388, 0.000)
Br (0.000, 0.000, 0.000)
Sr (0.818, 0.318, 0.500)
Ag (0.888, 0.612, 0.000)
Sr (0.682, 0.818, 0.500)
Br (0.500, 0.500, 0.000)
Ag (0.612, 0.112, 0.000)
Sr (0.318, 0.182, 0.500)

=====

DFT (PBE) results for Ca2AcTl2Sn2 after structural relaxation.

Summary:
As for the symmetry: R-3m (166). As for the formation energy: -2.4 eV per formula unit. The density of states at the Fermi level is 6.5 states/eV/f.u.

Cell: 5.337 5.337 9.607 Å, 73.87 73.87 60.00°
Fractional positions:
Tl (0.431, 0.431, 0.707)
Sn (0.262, 0.262, 0.214)
Ca (0.865, 0.865, 0.404)
Ac (0.000, 0.000, 0.000)
Tl (0.569, 0.569, 0.293)
Ca (0.135, 0.135, 0.596)
Sn (0.738, 0.738, 0.786)